# K2LiAl (GGA-PBE, optimized geometry)
# Raw total energy, eV/atom: -1.600
# ΔE_f, meV/atom: 363
# Magnetic moment, μB per formula unit: 0.00
data_K2LiAl
_chemical_formula_sum 'K4 Li2 Al2'
_space_group_name_H-M_alt 'C m m m'
_space_group_IT_number 65
_space_group_name_Hall '-C 2 2'
_cell_length_a 7.0197
_cell_length_b 10.2825
_cell_length_c 4.1693
_cell_angle_alpha 90.00
_cell_angle_beta 90.00
_cell_angle_gamma 90.00
loop_
_atom_site_label
_atom_site_type_symbol
_atom_site_fract_x
_atom_site_fract_y
_atom_site_fract_z
K1 K 0.2500 0.2500 0.0000
Li1 Li 0.0000 0.0000 0.5000
Al1 Al 0.0000 0.5000 0.5000